[1]
Entry from Alexandria via LeMat-Bulk: Cr2ReMoN after structural relaxation (PBE-GGA).

It has space group P4/mmm (No. 123), with a = 3.862 Å, b = 3.862 Å, c = 4.062 Å, α = 90.00°, β = 90.00° and γ = 90.00°. The asymmetric unit holds Cr at (0.000, 0.500, 0.000), Re at (0.000, 0.000, 0.500), Mo at (0.500, 0.500, 0.500) and N at (0.500, 0.500, 0.000).

The raw formation energy comes out at -0.52 eV/f.u.

***

[2]
Entry from Alexandria via LeMat-Bulk: NpB2F8 after structural relaxation (PBE-GGA).

It has space group C2/m (No. 12), with a = 9.993 Å, b = 7.629 Å, c = 4.545 Å, α = 90.00°, β = 96.23° and γ = 90.00°. The asymmetric unit holds Np at (0.000, 0.000, 0.000), B at (0.249, 0.000, 0.638), F at (0.116, 0.500, 0.277), F at (0.182, 0.150, 0.751) and F at (0.219, 0.000, 0.323).

The raw formation energy comes out at -30.14 eV/f.u.

***

What is the formula in the first record? Cr2ReMoN

***

Which formula does entry 2 have? NpB2F8

***

What did the second record say?
Entry from Alexandria via LeMat-Bulk: NpB2F8 after structural relaxation (PBE-GGA).

It has space group C2/m (No. 12), with a = 9.993 Å, b = 7.629 Å, c = 4.545 Å, α = 90.00°, β = 96.23° and γ = 90.00°. The asymmetric unit holds Np at (0.000, 0.000, 0.000), B at (0.249, 0.000, 0.638), F at (0.116, 0.500, 0.277), F at (0.182, 0.150, 0.751) and F at (0.219, 0.000, 0.323).

The raw formation energy comes out at -30.14 eV/f.u.

***

Look up the raw formation energy of the second one. -30.14 eV/f.u.